## Rb3Ac3ZrTe8 (PBE)

Data for crystalline Rb3Ac3ZrTe8 at its relaxed geometry.

a = 10.3323 Å, b = 10.3323 Å, c = 10.3323 Å
α = 54.30°, β = 54.30°, γ = 54.30°
Positions (direct):
Rb: 0.0000 0.5000 0.5000
Rb: 0.5000 0.0000 0.5000
Rb: 0.5000 0.5000 0.0000
Ac: 0.0000 0.0000 0.5000
Ac: 0.0000 0.5000 0.0000
Ac: 0.5000 0.0000 0.0000
Zr: 0.5000 0.5000 0.5000
Te: 0.2386 0.2386 0.2386
Te: 0.2653 0.7151 0.7151
Te: 0.2849 0.2849 0.7347
Te: 0.2849 0.7347 0.2849
Te: 0.7151 0.2653 0.7151
Te: 0.7151 0.7151 0.2653
Te: 0.7347 0.2849 0.2849
Te: 0.7614 0.7614 0.7614

Computed properties:
ΔE_f (raw), eV/atom: -1.333
Crystal system: trigonal
Calculated volume, Å³ per atom: 45.09



## Na3Ce3TiO8 (PBE)

Data for crystalline Na3Ce3TiO8 at its relaxed geometry.

a = 6.8758 Å, b = 6.8758 Å, c = 6.8758 Å
α = 60.06°, β = 60.06°, γ = 60.06°
Positions (direct):
Na: 0.0000 0.5000 0.5000
Na: 0.5000 0.0000 0.5000
Na: 0.5000 0.5000 0.0000
Ce: 0.0000 0.0000 0.5000
Ce: 0.0000 0.5000 0.0000
Ce: 0.5000 0.0000 0.0000
Ti: 0.5000 0.5000 0.5000
O: 0.2423 0.2423 0.2423
O: 0.2702 0.7120 0.7120
O: 0.2880 0.2880 0.7298
O: 0.2880 0.7298 0.2880
O: 0.7120 0.2702 0.7120
O: 0.7120 0.7120 0.2702
O: 0.7298 0.2880 0.2880
O: 0.7577 0.7577 0.7577

Computed properties:
ΔE_f (raw), eV/atom: -2.692
Crystal system: trigonal
Calculated volume, Å³ per atom: 15.34



What is the calculated volume in the second record?
15.34 Å³ per atom